No. 1
{
  "formula": "TlPSe2N",
  "functional": "PBE",
  "state": "relaxed",
  "lattice_angstrom": [[5.438, 0.000, 0.000], [0.000, 5.438, 0.000], [0.000, 0.000, 3.280]],
  "species": ["Tl", "P", "Se", "Se", "N"],
  "fractional_positions": [[0.000, 0.000, 0.000], [0.500, 0.500, 0.500], [0.000, 0.500, 0.500], [0.500, 0.000, 0.500], [0.500, 0.500, 0.000]],
  "e_tot_ev_per_atom": -4.207
}

---

No. 2
{
  "formula": "TlPSe2N",
  "functional": "PBE",
  "state": "relaxed",
  "lattice_angstrom": [[5.461, 0.000, 0.000], [0.000, 5.461, 0.000], [0.000, 0.000, 4.199]],
  "species": ["Tl", "P", "Se", "Se", "N"],
  "fractional_positions": [[0.000, 0.000, 0.000], [0.500, 0.500, 0.500], [0.000, 0.500, 0.000], [0.500, 0.000, 0.000], [0.000, 0.000, 0.500]],
  "e_tot_ev_per_atom": -3.009
}

---

Number 1: distance to the lowest polymorph of the same formula 0.00 eV per formula unit, ΔE_f (raw) 39.3 kJ/mol of atoms. Number 2: distance to the lowest polymorph of the same formula 5.99 eV per formula unit, ΔE_f (raw) 154.9 kJ/mol of atoms.